Entry 1:
BaCrSi2 PBE relaxed; calculated volume = 76.6 Å³/f.u.; spin magnetization = 0.21 μB per atom; formation energy from raw total energies = 1.70 kcal/mol of atoms; E above lowest polymorph = 0.208 eV per atom; E_tot = -5.524 eV/atom
1.0
3.223 0.000 0.000
0.000 3.223 0.000
0.000 0.000 7.372
Ba Cr Si
1 1 2
Direct
0.000 0.000 0.000 Ba
0.000 0.000 0.500 Cr
0.500 0.500 0.336 Si
0.500 0.500 0.664 Si

---

Entry 2:
TlRe4Ir PBE relaxed; calculated volume = 101.4 Å³/f.u.; calculated formation energy = 0.85 eV per atom; spin magnetization = 0.00 μB per atom; E_tot = -9.320 eV/atom
1.0
0.000 3.701 3.701
3.701 0.000 3.701
3.701 3.701 0.000
Tl Re Ir
1 4 1
Direct
0.000 0.000 0.000 Tl
0.128 0.624 0.624 Re
0.624 0.128 0.624 Re
0.624 0.624 0.128 Re
0.624 0.624 0.624 Re
0.250 0.250 0.250 Ir

---

Entry 3:
LiWS2N PBE relaxed; calculated volume = 89.0 Å³/f.u.; spin magnetization = 0.00 μB per atom; formation energy from raw total energies = -5.97 kcal/mol of atoms; E above lowest polymorph = 0.000 eV per atom; E_tot = -6.548 eV/atom
1.0
4.815 0.000 0.000
0.000 4.815 0.000
0.000 0.000 3.839
Li W S N
1 1 2 1
Direct
0.000 0.000 0.000 Li
0.500 0.500 0.500 W
0.000 0.500 0.500 S
0.500 0.000 0.500 S
0.500 0.500 0.000 N

---

Entry 4:
Cr2SbRh2 PBE relaxed; calculated volume = 79.1 Å³/f.u.; spin magnetization = 1.01 μB per atom; formation energy from raw total energies = 2.83 kcal/mol of atoms; E above lowest polymorph = 0.000 eV per atom; E_tot = -7.492 eV/atom
1.0
7.332 0.000 0.000
0.000 7.332 0.000
0.000 0.000 2.943
Cr Sb Rh
4 2 4
Direct
0.161 0.339 0.000 Cr
0.339 0.839 0.000 Cr
0.661 0.161 0.000 Cr
0.839 0.661 0.000 Cr
0.000 0.000 0.500 Sb
0.500 0.500 0.500 Sb
0.133 0.633 0.500 Rh
0.367 0.133 0.500 Rh
0.633 0.867 0.500 Rh
0.867 0.367 0.500 Rh

---

Entry 5:
TiMnPd2 PBE relaxed; calculated volume = 61.8 Å³/f.u.; calculated formation energy = 0.19 eV per atom; spin magnetization = 0.00 μB per atom; E_tot = -6.673 eV/atom
1.0
3.732 0.000 0.000
0.000 3.732 0.000
0.000 0.000 17.739
Ti Mn Pd
4 4 8
Direct
0.000 0.000 0.000 Ti
0.000 0.500 0.250 Ti
0.500 0.000 0.750 Ti
0.500 0.500 0.500 Ti
0.000 0.000 0.500 Mn
0.000 0.500 0.750 Mn
0.500 0.000 0.250 Mn
0.500 0.500 0.000 Mn
0.244 0.250 0.625 Pd
0.250 0.744 0.875 Pd
0.250 0.756 0.375 Pd
0.256 0.250 0.125 Pd
0.744 0.750 0.125 Pd
0.750 0.244 0.375 Pd
0.750 0.256 0.875 Pd
0.756 0.750 0.625 Pd

---

Entry 6:
Y2TmZrAs4 PBE relaxed; calculated volume = 185.9 Å³/f.u.; calculated formation energy = -1.43 eV per atom; spin magnetization = 0.00 μB per atom; E_tot = -7.003 eV/atom
1.0
6.987 0.000 0.000
0.000 4.032 0.000
-2.311 0.000 6.598
Y Tm Zr As
2 1 1 4
Direct
0.000 0.000 0.000 Y
0.500 0.500 0.000 Y
0.000 0.500 0.500 Tm
0.500 0.000 0.500 Zr
0.252 0.000 0.742 As
0.258 0.500 0.261 As
0.742 0.500 0.739 As
0.748 0.000 0.258 As

---

Entry 7:
CdOsCl2 PBE relaxed; calculated volume = 107.5 Å³/f.u.; spin magnetization = 0.13 μB per atom; formation energy from raw total energies = 3.23 kcal/mol of atoms; E above lowest polymorph = 0.095 eV per atom; E_tot = -3.819 eV/atom
1.0
5.526 0.000 0.000
0.000 10.733 0.000
0.000 0.000 3.626
Cd Os Cl
2 2 4
Direct
0.000 0.000 0.000 Cd
0.500 0.500 0.000 Cd
0.000 0.500 0.000 Os
0.500 0.000 0.000 Os
0.000 0.361 0.500 Cl
0.000 0.639 0.500 Cl
0.500 0.139 0.500 Cl
0.500 0.861 0.500 Cl

---

Entry 8:
Na2TlAgF6 PBE relaxed; calculated volume = 159.2 Å³/f.u.; spin magnetization = 0.00 μB per atom; formation energy from raw total energies = -47.46 kcal/mol of atoms; E above lowest polymorph = 0.000 eV per atom; E_tot = -3.966 eV/atom
1.0
2.964 1.711 5.230
-2.964 1.711 5.230
0.000 -3.423 5.230
Na Tl Ag F
2 1 1 6
Direct
0.000 0.000 0.000 Na
0.493 0.493 0.493 Na
0.700 0.700 0.700 Tl
0.212 0.212 0.212 Ag
0.079 0.424 0.794 F
0.315 0.882 0.621 F
0.424 0.794 0.079 F
0.621 0.315 0.882 F
0.794 0.079 0.424 F
0.882 0.621 0.315 F